Record 1
Pr2MgAl (SCAN, PBEsol geometry); ΔE_f = -271 meV per atom; DOS at the Fermi energy = 3.1 states/eV/cell; uncorrected energy = -1.846 Ry per atom
1.0
0.000 3.767 3.767
3.767 0.000 3.767
3.767 3.767 0.000
Pr Mg Al
2 1 1
direct
0.250 0.250 0.250
0.750 0.750 0.750
0.000 0.000 0.000
0.500 0.500 0.500

---

Record 2
PrMg16Al12 (SCAN, PBEsol geometry); ΔE_f = -75 meV per atom; DOS at the Fermi energy = 10.3 states/eV/cell; uncorrected energy = -0.553 Ry per atom
1.0
-5.253 5.253 5.253
5.253 -5.253 5.253
5.253 5.253 -5.253
Pr Mg Al
1 16 12
direct
0.000 0.000 0.000
0.000 0.000 0.638
0.000 0.398 0.680
0.000 0.638 0.000
0.000 0.680 0.398
0.283 0.602 0.602
0.320 0.320 0.717
0.320 0.717 0.320
0.362 0.362 0.362
0.398 0.000 0.680
0.398 0.680 0.000
0.602 0.283 0.602
0.602 0.602 0.283
0.638 0.000 0.000
0.680 0.000 0.398
0.680 0.398 0.000
0.717 0.320 0.320
0.000 0.188 0.370
0.000 0.370 0.188
0.182 0.812 0.812
0.188 0.000 0.370
0.188 0.370 0.000
0.370 0.000 0.188
0.370 0.188 0.000
0.630 0.630 0.818
0.630 0.818 0.630
0.812 0.182 0.812
0.812 0.812 0.182
0.818 0.630 0.630

---

Record 3
Mg2AlPt2 (SCAN, PBEsol geometry); ΔE_f = -944 meV per atom; DOS at the Fermi energy = 3.3 states/eV/cell; uncorrected energy = -2.393 Ry per atom
1.0
6.487 0.000 0.000
0.000 6.487 0.000
0.000 0.000 4.061
Mg Al Pt
4 2 4
direct
0.161 0.339 0.000
0.339 0.839 0.000
0.661 0.161 0.000
0.839 0.661 0.000
0.000 0.000 0.500
0.500 0.500 0.500
0.147 0.647 0.500
0.353 0.147 0.500
0.647 0.853 0.500
0.853 0.353 0.500

---

Record 4
MgAlPt3 (SCAN, PBEsol geometry); ΔE_f = 677 meV per atom; DOS at the Fermi energy = 3.2 states/eV/cell; uncorrected energy = -3.233 Ry per atom
1.0
4.508 0.000 0.000
0.000 4.508 0.000
0.000 0.000 4.508
Mg Al Pt
1 1 3
direct
0.000 0.000 0.000
0.500 0.500 0.500
0.000 0.000 0.500
0.000 0.500 0.000
0.500 0.000 0.000

---

Record 5
MgAl2Pt (SCAN, PBEsol geometry); ΔE_f = -612 meV per atom; DOS at the Fermi energy = 1.4 states/eV/cell; uncorrected energy = -1.711 Ry per atom
1.0
3.024 0.000 0.000
0.000 3.731 0.000
0.000 0.000 5.612
Mg Al Pt
1 2 1
direct
0.000 0.000 0.000
0.000 0.000 0.480
0.500 0.500 0.732
0.500 0.500 0.262

---

Record 6
MgAl2Pt (SCAN, PBEsol geometry); ΔE_f = -645 meV per atom; DOS at the Fermi energy = 1.2 states/eV/cell; uncorrected energy = -1.713 Ry per atom
1.0
-1.979 1.979 3.960
1.979 -1.979 3.960
1.979 1.979 -3.960
Mg Al Pt
1 2 1
direct
0.000 0.000 0.000
0.250 0.750 0.500
0.500 0.500 0.000
0.750 0.250 0.500

---

Please write out number 6 again, unchanged.
MgAl2Pt (SCAN, PBEsol geometry); ΔE_f = -645 meV per atom; DOS at the Fermi energy = 1.2 states/eV/cell; uncorrected energy = -1.713 Ry per atom
1.0
-1.979 1.979 3.960
1.979 -1.979 3.960
1.979 1.979 -3.960
Mg Al Pt
1 2 1
direct
0.000 0.000 0.000
0.250 0.750 0.500
0.500 0.500 0.000
0.750 0.250 0.500

---

> uncorrected energy of number 4 (MgAlPt3)?

-3.233 Ry per atom

---

> Which formula does entry 5 have?

MgAl2Pt

---

> The lowest uncorrected energy belongs to which entry?

MgAlPt3